Model 1:
PBE Li4Ca3Sn4, optimized geometry; DOS(E_F) = 7.97 states/eV/cell
1.0
-2.363 3.686 7.763
2.363 -3.686 7.763
2.363 3.686 -7.763
Li Ca Sn
4 3 4
Direct
0.017 0.825 0.191
0.366 0.175 0.191
0.634 0.825 0.809
0.983 0.175 0.809
0.000 0.500 0.500
0.370 0.370 0.000
0.630 0.630 0.000
0.211 0.711 0.500
0.308 0.000 0.308
0.692 0.000 0.692
0.789 0.289 0.500

***

Model 2:
PBE Li4Ca3Sn4, optimized geometry; DOS(E_F) = 4.80 states/eV/cell
1.0
15.310 -2.446 0.000
15.310 2.446 0.000
-0.425 0.000 3.606
Li Ca Sn
4 3 4
Direct
0.094 0.094 0.094
0.259 0.259 0.758
0.741 0.741 0.242
0.906 0.906 0.906
0.000 0.000 0.500
0.354 0.354 0.355
0.646 0.646 0.645
0.185 0.185 0.184
0.451 0.451 0.951
0.549 0.549 0.049
0.815 0.815 0.816

***

It turns out model 2 is the most stable, with the second structure 19 meV/atom higher.

***

Model 1:
PBE SrLi2Ca3, optimized geometry; DOS(E_F) = 5.69 states/eV/cell
1.0
4.016 0.000 0.000
0.000 4.016 0.000
0.000 0.000 13.751
Sr Li Ca
1 2 3
Direct
0.000 0.000 0.000
0.000 0.000 0.357
0.000 0.000 0.643
0.500 0.500 0.216
0.500 0.500 0.500
0.500 0.500 0.784

***

Model 2:
PBE SrLi2Ca3, optimized geometry; DOS(E_F) = 10.46 states/eV/cell
1.0
5.903 0.000 0.000
-2.951 5.112 0.000
0.000 0.000 14.942
Sr Li Ca
2 4 6
Direct
0.000 0.000 0.250
0.000 0.000 0.750
0.333 0.667 0.140
0.333 0.667 0.360
0.667 0.333 0.640
0.667 0.333 0.860
0.000 0.000 0.000
0.000 0.000 0.500
0.333 0.667 0.600
0.333 0.667 0.900
0.667 0.333 0.100
0.667 0.333 0.400

***

It turns out model 1 is the most stable, with the second structure 38 meV/atom higher.

***

Model 1:
PBE SrLi3Ca, optimized geometry; DOS(E_F) = 3.95 states/eV/cell
1.0
5.720 0.000 0.000
0.000 5.720 0.000
0.000 0.000 5.720
Sr Li Ca
1 3 1
Direct
0.000 0.000 0.000
0.000 0.000 0.500
0.000 0.500 0.000
0.500 0.000 0.000
0.500 0.500 0.500

***

Model 2:
PBE SrLi3Ca, optimized geometry; DOS(E_F) = 4.25 states/eV/cell
1.0
5.713 0.000 0.000
0.000 5.713 0.000
0.000 0.000 5.713
Sr Li Ca
1 3 1
Direct
0.000 0.000 0.000
0.000 0.500 0.500
0.500 0.000 0.500
0.500 0.500 0.000
0.500 0.500 0.500

***

Model 3:
PBE SrLi3Ca, optimized geometry; DOS(E_F) = 17.35 states/eV/cell
1.0
6.611 0.000 0.000
0.000 8.190 0.000
0.000 0.000 11.962
Sr Li Ca
4 12 4
Direct
0.000 0.000 0.000
0.000 0.500 0.000
0.500 0.000 0.500
0.500 0.500 0.500
0.119 0.250 0.238
0.177 0.072 0.736
0.177 0.428 0.736
0.323 0.572 0.236
0.323 0.928 0.236
0.381 0.750 0.738
0.619 0.250 0.262
0.677 0.072 0.764
0.677 0.428 0.764
0.823 0.572 0.264
0.823 0.928 0.264
0.881 0.750 0.762
0.012 0.750 0.503
0.488 0.250 0.003
0.512 0.750 0.997
0.988 0.250 0.497

***

It turns out model 3 is the most stable, with the second structure 325 meV/atom higher.

***

Model 1:
PBE SrLiCa2, optimized geometry; DOS(E_F) = 4.10 states/eV/cell
1.0
3.437 -1.981 0.000
3.437 1.981 0.000
-2.308 0.000 12.013
Sr Li Ca
1 1 2
Direct
0.000 0.000 0.000
0.833 0.833 0.500
0.239 0.239 0.720
0.426 0.426 0.280

***

Model 2:
PBE SrLiCa2, optimized geometry; DOS(E_F) = 3.50 states/eV/cell
1.0
4.087 0.000 0.000
0.000 4.087 0.000
0.000 0.000 9.511
Sr Li Ca
1 1 2
Direct
0.000 0.000 0.000
0.000 0.000 0.500
0.500 0.500 0.301
0.500 0.500 0.699

***

It turns out model 2 is the most stable, with the second structure 67 meV/atom higher.

***

Model 1:
PBE SrLiCa2, optimized geometry; DOS(E_F) = 4.64 states/eV/cell
1.0
1.974 1.140 12.140
-1.974 1.140 12.140
0.000 -2.280 12.140
Sr Li Ca
1 1 2
Direct
0.000 0.000 0.000
0.253 0.253 0.253
0.513 0.513 0.513
0.759 0.759 0.759

***

Model 2:
PBE SrLiCa2, optimized geometry; DOS(E_F) = 4.06 states/eV/cell
1.0
7.013 -2.029 0.000
7.013 2.029 0.000
-2.807 0.000 5.634
Sr Li Ca
1 1 2
Direct
0.000 0.000 0.000
0.500 0.500 0.500
0.217 0.217 0.717
0.783 0.783 0.283

***

It turns out model 2 is the most stable, with the second structure 61 meV/atom higher.

***

Model 1:
PBE SrLiCa2, optimized geometry; DOS(E_F) = 3.94 states/eV/cell
1.0
0.000 4.328 4.328
4.328 0.000 4.328
4.328 4.328 0.000
Sr Li Ca
1 1 2
Direct
0.000 0.000 0.000
0.250 0.250 0.250
0.500 0.500 0.500
0.750 0.750 0.750

***

Model 2:
PBE SrLiCa2, optimized geometry; DOS(E_F) = 3.82 states/eV/cell
1.0
5.973 0.000 0.000
0.000 4.402 0.000
-0.006 0.000 6.168
Sr Li Ca
1 1 2
Direct
0.000 0.000 0.000
0.500 0.500 0.000
0.000 0.500 0.500
0.500 0.000 0.500

***

It turns out model 2 is the most stable, with the second structure 23 meV/atom higher.

***

Model 1:
PBE SrLiCa, optimized geometry; DOS(E_F) = 2.43 states/eV/cell
1.0
5.969 0.000 0.000
-2.985 5.170 0.000
0.000 0.000 3.963
Sr Li Ca
1 1 1
Direct
0.000 0.000 0.000
0.667 0.333 0.640
0.333 0.667 0.454

***

Model 2:
PBE SrLiCa, optimized geometry; DOS(E_F) = 3.27 states/eV/cell
1.0
0.000 4.033 4.033
4.033 0.000 4.033
4.033 4.033 0.000
Sr Li Ca
1 1 1
Direct
0.000 0.000 0.000
0.750 0.750 0.750
0.500 0.500 0.500

***

It turns out model 1 is the most stable, with the second structure 107 meV/atom higher.

***

Model 1:
PBE SrLiCa, optimized geometry; DOS(E_F) = 6.41 states/eV/cell
1.0
-2.132 3.790 7.505
2.132 -3.790 7.505
2.132 3.790 -7.505
Sr Li Ca
2 2 2
Direct
0.203 0.203 0.000
0.797 0.797 0.000
0.388 0.888 0.500
0.612 0.112 0.500
0.246 0.500 0.746
0.754 0.500 0.254

***

Model 2:
PBE SrLiCa, optimized geometry; DOS(E_F) = 3.59 states/eV/cell
1.0
0.000 4.270 4.270
4.270 0.000 4.270
4.270 4.270 0.000
Sr Li Ca
1 1 1
Direct
0.000 0.000 0.000
0.750 0.750 0.750
0.250 0.250 0.250

***

It turns out model 1 is the most stable, with the second structure 488 meV/atom higher.